12
Lattice="-2.7579 -1.1790 -2.9725 3.3699 -3.8004 -1.6192 -3.8409 -5.9254 5.9136" Properties=species:S:1:pos:R:3 comment="SmHoZn10 | Alexandria | PBE | optimized geometry" dos_at_fermi_per_ev_cell=5.37 formation_energy_ev_per_fu=-3.380 pbc="T T T"
Sm -0.2355 -4.8629 2.1472
Ho 0.0000 0.0000 0.0000
Zn -1.2678 -1.9558 1.9520
Zn -1.5306 -6.8609 4.1412
Zn 1.0596 -2.8649 0.1532
Zn -2.5731 -3.9696 3.9617
Zn -3.2994 -3.5522 1.4705
Zn 0.3060 -2.4897 -2.2959
Zn -1.4925 -3.0067 -0.4222
Zn -1.7364 -7.8980 1.7441
Zn 0.1982 -4.9134 -1.2346
Zn -3.4271 -5.9913 2.5564

---

9
Lattice="4.7773 0.0000 0.0000 0.0000 4.7773 0.0000 -2.3886 -2.3886 12.6262" Properties=species:S:1:pos:R:3 comment="SmHo6Zn2 | Alexandria | PBE | optimized geometry" dos_at_fermi_per_ev_cell=15.95 e_above_lowest_polymorph_ev_per_fu=3.604 formation_energy_ev_per_fu=2.334 pbc="T T T"
Sm 0.0000 0.0000 0.0000
Ho 2.3886 0.0000 9.8636
Ho 0.0000 2.3886 9.8636
Ho 0.0000 2.3886 2.7627
Ho 2.3886 0.0000 6.3131
Ho 0.0000 2.3886 6.3131
Ho 2.3886 0.0000 2.7627
Zn 0.0000 0.0000 8.1136
Zn 2.3886 2.3886 4.5126

---

10
Lattice="-2.4583 2.5739 0.2609 -1.0575 -1.3282 3.1390 11.8189 10.4372 8.3981" Properties=species:S:1:pos:R:3 comment="SmHo4Zn5 | Alexandria | PBE | optimized geometry" dos_at_fermi_per_ev_cell=11.78 formation_energy_ev_per_fu=-3.364 pbc="T T T"
Sm 0.0000 0.0000 0.0000
Ho 2.3985 2.1181 1.7043
Ho 4.7417 4.1873 3.3692
Ho 7.0772 6.2498 5.0288
Ho 9.4204 8.3190 6.6938
Zn -0.5006 1.7332 2.5934
Zn 1.8077 3.7716 4.2336
Zn 4.1515 5.8414 5.8990
Zn 6.4953 7.9112 7.5644
Zn 8.8036 9.9496 9.2046

---

18
Lattice="-2.4547 -1.9580 4.3689 -4.1377 -6.9563 -5.4423 7.9534 -6.0896 1.7360" Properties=species:S:1:pos:R:3 comment="Sm2Ho6Zn | Alexandria | PBE | optimized geometry" dos_at_fermi_per_ev_cell=27.24 formation_energy_ev_per_fu=0.287 pbc="T T T"
Sm 4.7292 -6.7452 -0.3680
Sm 1.3515 -11.1385 -0.9227
Sm 0.0094 -3.8654 1.5853
Sm -3.3682 -8.2587 1.0307
Ho -1.0473 -3.2210 4.5925
Ho -0.7678 -10.2170 1.6121
Ho 2.0432 -11.8182 2.4730
Ho 3.0284 -5.5933 2.5066
Ho 5.3889 -7.9523 2.7748
Ho -0.8787 -6.4940 -0.0918
Ho 2.4083 -11.7830 -3.9298
Ho 2.1288 -4.7870 -0.9494
Ho -0.6822 -3.1857 -1.8103
Ho -1.6674 -9.4106 -1.8439
Ho -4.0279 -7.0517 -2.1121
Ho 2.2397 -8.5099 0.7544
Zn -3.2962 -4.4571 -0.5367
Zn 3.9767 -3.0448 0.8680

---

8
Lattice="-3.1687 -0.7469 -8.8290 2.9268 -5.7691 -5.5702 -2.9387 -4.3395 -3.5944" Properties=species:S:1:pos:R:3 comment="Sm6HoZn | Alexandria | PBE | optimized geometry" dos_at_fermi_per_ev_cell=10.86 formation_energy_ev_per_fu=0.283 pbc="T T T"
Sm -1.1495 -5.8168 -5.5183
Sm -1.6961 -9.1491 -14.6016
Sm -1.5524 -2.4221 -6.9145
Sm -1.4845 -1.7063 -3.3919
Sm -2.0310 -5.0387 -12.4753
Sm -1.6282 -8.4333 -11.0791
Ho -1.5903 -5.4277 -8.9968
Zn 0.0000 0.0000 0.0000

---

10
Lattice="-1.0183 -3.3585 -0.7981 1.8614 -1.2350 2.8219 -19.1930 2.5460 13.7744" Properties=species:S:1:pos:R:3 comment="Sm5Ho4Zn | Alexandria | PBE | optimized geometry" dos_at_fermi_per_ev_cell=12.60 formation_energy_ev_per_fu=-0.479 pbc="T T T"
Sm -1.0493 -2.1016 2.0675
Sm -5.1215 -1.5614 4.9900
Sm -9.1749 -1.0237 7.8991
Sm -13.2284 -0.4860 10.8082
Sm -17.3006 0.0542 13.7307
Ho -3.5344 0.4688 2.5365
Ho -7.5740 1.0047 5.4357
Ho -11.6190 1.5413 8.3387
Ho -15.6586 2.0772 11.2379
Zn 0.0000 0.0000 0.0000

---

5
Lattice="-1.1637 1.7254 -2.8997 -2.9237 -2.0467 -0.0446 -3.2742 7.6142 8.0413" Properties=species:S:1:pos:R:3 comment="Sm2Ho2Zn | Alexandria | PBE | optimized geometry" dos_at_fermi_per_ev_cell=5.85 e_above_lowest_polymorph_ev_per_fu=0.000 formation_energy_ev_per_fu=-0.641 pbc="T T T"
Sm -5.3141 4.4231 2.5678
Sm -2.0475 2.8697 2.5292
Ho -2.8681 0.9949 -0.4537
Ho -4.4934 6.2980 5.5507
Zn 0.0000 0.0000 0.0000

---

8
Lattice="9.2448 0.0109 0.1039 4.6190 6.9790 -0.3090 4.5795 2.1542 3.6456" Properties=species:S:1:pos:R:3 comment="SmHo6Zn | Alexandria | PBE | optimized geometry" dos_at_fermi_per_ev_cell=9.56 formation_energy_ev_per_fu=0.366 pbc="T T T"
Sm 9.2216 4.5720 1.7202
Ho 5.8848 4.6103 2.6696
Ho 14.7022 8.1907 2.3503
Ho 7.0740 1.9593 0.5086
Ho 3.7411 0.9534 1.0902
Ho 12.5585 4.5338 0.7708
Ho 11.3692 7.1847 2.9319
Zn 0.0000 0.0000 0.0000